Here is an optimized crystal structure of ErMg6Au from OQMD. Energies are from PBE.

abc: 6.4452 6.4452 4.9911
angles: 90.00 90.00 120.00
Space group P-6m2 (No. 187)
One atom of each set of equivalent atoms:
Er: 0.0000 0.0000 0.0000 (multiplicity 1)
Mg: 0.1692 0.3384 0.5000 (multiplicity 3)
Mg: 0.5018 0.0035 0.0000 (multiplicity 3)
Au: 0.6667 0.3333 0.5000 (multiplicity 1)

The calculation puts the theoretical density at 4.7 Mg/m³. As for the total energy: -2.222 eV/atom.